An optimized crystal structure of MnSbCl, computed with PBE.

Total energy   -4.921 eV per atom
Crystal system   cubic
Symmetry   F-43m (216)
Raw formation energy   0.125 eV per atom
E above lowest polymorph   489 meV per atom

Unit cell a=4.680 b=4.680 c=4.680 alpha=60.00 beta=60.00 gamma=60.00
Element x y z (fractional)
Mn 0.000 0.000 0.000
Sb 0.250 0.250 0.250
Cl 0.750 0.750 0.750